## LiCo3B3 (PBE)

Data for LiCo3B3 after structural relaxation.

Cell lengths 5.378, 5.378, 5.378 Å; angles 90.00, 90.00, 90.00 degrees
Fractional positions:
Li  0.000  0.000  0.000
Li  0.500  0.500  0.500
Co  0.000  0.250  0.500
Co  0.000  0.750  0.500
Co  0.250  0.500  0.000
Co  0.500  0.000  0.250
Co  0.500  0.000  0.750
Co  0.750  0.500  0.000
B  0.000  0.500  0.250
B  0.000  0.500  0.750
B  0.250  0.000  0.500
B  0.500  0.250  0.000
B  0.500  0.750  0.000
B  0.750  0.000  0.500

Summary:
VASP energy: -6.02 eV/atom
DOS(E_F): 4.9 states/eV/f.u.